Entry 1:
# ZrTeCl2 | the Alexandria database | GGA-PBE | optimized geometry
data_ZrTeCl2
_chemical_formula_sum 'Zr2 Te2 Cl4'
_cell_length_a 6.105
_cell_length_b 9.665
_cell_length_c 4.299
_cell_angle_alpha 90.00
_cell_angle_beta 132.17
_cell_angle_gamma 90.00
_space_group_name_H-M_alt 'C 1 2/m 1'
_space_group_IT_number 12
_space_group_name_Hall '-C 2y'
loop_
_atom_site_label
_atom_site_fract_x
_atom_site_fract_y
_atom_site_fract_z
Zr1 0.000 0.000 0.000
Te1 0.000 0.500 0.000
Cl1 0.250 0.250 0.500
# Energy above the lowest structure with this stoichiometry ... 873 meV per atom
# Energy relative to the elements, uncorrected ... -0.47 eV/atom

Entry 2:
# Cr2NiSn | the Alexandria database | GGA-PBE | optimized geometry
data_Cr2NiSn
_chemical_formula_sum 'Cr8 Ni4 Sn4'
_cell_length_a 6.997
_cell_length_b 6.997
_cell_length_c 5.059
_cell_angle_alpha 90.00
_cell_angle_beta 90.00
_cell_angle_gamma 90.00
_space_group_name_H-M_alt 'I -4 2 d'
_space_group_IT_number 122
_space_group_name_Hall 'I -4 2bw'
loop_
_atom_site_label
_atom_site_fract_x
_atom_site_fract_y
_atom_site_fract_z
Cr1 0.206 0.750 0.125
Ni1 0.000 0.000 0.000
Sn1 0.000 0.000 0.500
# Energy of formation ... 63.90 kJ per mole of atoms

Entry 3:
# HoTlSb | the Alexandria database | GGA-PBE | optimized geometry
data_HoTlSb
_chemical_formula_sum 'Ho4 Tl4 Sb4'
_cell_length_a 8.949
_cell_length_b 3.515
_cell_length_c 12.032
_cell_angle_alpha 90.00
_cell_angle_beta 94.63
_cell_angle_gamma 90.00
_space_group_name_H-M_alt 'C 1 2/m 1'
_space_group_IT_number 12
_space_group_name_Hall '-C 2y'
loop_
_atom_site_label
_atom_site_fract_x
_atom_site_fract_y
_atom_site_fract_z
Ho1 0.178 0.000 0.237
Tl1 0.127 0.000 0.926
Sb1 0.022 0.500 0.623
# Energy relative to the elements, uncorrected ... -0.22 eV/atom

Entry 4:
# Zn2Ga2P | the Alexandria database | GGA-PBE | optimized geometry
data_Zn2Ga2P
_chemical_formula_sum 'Zn4 Ga4 P2'
_cell_length_a 3.733
_cell_length_b 3.733
_cell_length_c 12.757
_cell_angle_alpha 90.00
_cell_angle_beta 90.00
_cell_angle_gamma 90.00
_space_group_name_H-M_alt 'I 4/m m m'
_space_group_IT_number 139
_space_group_name_Hall '-I 4 2'
loop_
_atom_site_label
_atom_site_fract_x
_atom_site_fract_y
_atom_site_fract_z
Zn1 0.000 0.000 0.094
Ga1 0.000 0.500 0.250
P1 0.000 0.000 0.500
# Energy of formation ... 27.32 kJ per mole of atoms
# Energy above the lowest structure with this stoichiometry ... 136 meV per atom

Entry 5:
# YMg2Cu | the Alexandria database | GGA-PBE | optimized geometry
data_YMg2Cu
_chemical_formula_sum 'Y2 Mg4 Cu2'
_cell_length_a 3.943
_cell_length_b 3.678
_cell_length_c 12.603
_cell_angle_alpha 90.00
_cell_angle_beta 90.00
_cell_angle_gamma 90.00
_space_group_name_H-M_alt 'A m m 2'
_space_group_IT_number 38
_space_group_name_Hall 'A 2 -2'
loop_
_atom_site_label
_atom_site_fract_x
_atom_site_fract_y
_atom_site_fract_z
Y1 0.000 0.000 0.000
Mg1 0.000 0.000 0.726
Mg2 0.500 0.000 0.341
Cu1 0.500 0.000 0.582
# Energy of formation ... -6.44 kJ per mole of atoms

Entry 6:
# Ni2AgPd | the Alexandria database | GGA-PBE | optimized geometry
data_Ni2AgPd
_chemical_formula_sum 'Ni8 Ag4 Pd4'
_cell_length_a 6.826
_cell_length_b 6.826
_cell_length_c 5.250
_cell_angle_alpha 90.00
_cell_angle_beta 90.00
_cell_angle_gamma 90.00
_space_group_name_H-M_alt 'I -4 2 d'
_space_group_IT_number 122
_space_group_name_Hall 'I -4 2bw'
loop_
_atom_site_label
_atom_site_fract_x
_atom_site_fract_y
_atom_site_fract_z
Ni1 0.239 0.250 0.125
Ag1 0.000 0.000 0.500
Pd1 0.000 0.000 0.000
# Energy of formation ... 52.86 kJ per mole of atoms
# Energy above the lowest structure with this stoichiometry ... 386 meV per atom

Number 1: density of states at the Fermi level 0.56 states/eV per atom, E -34.6 eV per cell. Number 2: density of states at the Fermi level 1.62 states/eV per atom, E -105.5 eV per cell. Number 3: density of states at the Fermi level 0.58 states/eV per atom, E -46.9 eV per cell. Number 4: density of states at the Fermi level 0.39 states/eV per atom, E -25.2 eV per cell. Number 5: density of states at the Fermi level 0.62 states/eV per atom, E -28.0 eV per cell. Number 6: density of states at the Fermi level 1.63 states/eV per atom, E -69.7 eV per cell.